A geometry-optimized BaMoRu2O8 structure, computed with GGA+U.

D(E_F) in states/eV/f.u.: 8.128

Cell: 5.4144 5.4144 7.6532 Å, 90.00 90.00 120.00°
Last column: nearest neighbours and their distance in Å.
Space group P-3 (No. 147)
Asymmetric unit:
Ba  0.0000  0.0000  0.0000 (multiplicity 1)  12 O 2.99-3.14
Mo  0.0000  0.0000  0.5000 (multiplicity 1)  6 O 2.05
Ru  0.3333  0.6667  0.7281 (multiplicity 2)  4 O 1.80-1.85
O  0.0342  0.3096  0.6688 (multiplicity 6)  1 Ru 1.85, 1 Mo 2.05
O  0.3333  0.6667  0.9636 (multiplicity 2)  1 Ru 1.80

=====

A geometry-optimized BaMoS2O8 structure, computed with GGA+U.

D(E_F) in states/eV/f.u.: 0.000

Cell: 5.2212 5.2212 7.8142 Å, 90.00 90.00 120.00°
Last column: nearest neighbours and their distance in Å.
Space group P-3 (No. 147)
Asymmetric unit:
Ba  0.0000  0.0000  0.0000 (multiplicity 1)  12 O 2.92-3.05
Mo  0.0000  0.0000  0.5000 (multiplicity 1)  6 O 2.25
S  0.3333  0.6667  0.7516 (multiplicity 2)  4 O 1.49
O  0.1180  0.3615  0.6936 (multiplicity 6)  1 S 1.49
O  0.3333  0.6667  0.9422 (multiplicity 2)  1 S 1.49

=====

A geometry-optimized Ba3Sb2MoO9 structure, computed with GGA+U.

D(E_F) in states/eV/f.u.: 0.140

Cell: 6.1511 6.1511 7.4977 Å, 90.00 90.00 120.00°
Last column: nearest neighbours and their distance in Å.
Space group P-3m1 (No. 164)
Asymmetric unit:
Ba  0.0000  0.0000  0.0000 (multiplicity 1)  12 O 3.06-3.08
Ba  0.3333  0.6667  0.6548 (multiplicity 2)  12 O 3.01-3.14
Sb  0.3333  0.6667  0.1578 (multiplicity 2)  3 O 2.13
Mo  0.0000  0.0000  0.5000 (multiplicity 1)  6 O 1.95
O  0.0000  0.5000  0.0000 (multiplicity 3)  2 Sb 2.13
O  0.1496  0.2991  0.3490 (multiplicity 6)  1 Mo 1.95

=====

A geometry-optimized BaSbMo2O8 structure, computed with GGA+U.

D(E_F) in states/eV/f.u.: 4.204

Cell: 5.9577 5.9577 7.6776 Å, 90.00 90.00 120.00°
Last column: nearest neighbours and their distance in Å.
Space group P-3 (No. 147)
Asymmetric unit:
Ba  0.0000  0.0000  0.0000 (multiplicity 1)  6 O 2.84
Sb  0.0000  0.0000  0.5000 (multiplicity 1)  6 O 2.29
Mo  0.3333  0.6667  0.7736 (multiplicity 2)  4 O 1.77-1.84
O  0.1617  0.3256  0.7021 (multiplicity 6)  1 Mo 1.84
O  0.3333  0.6667  0.0047 (multiplicity 2)  1 Mo 1.77

=====

A geometry-optimized BaScMoO6 structure, computed with GGA+U.

Cell: 5.4964 9.7323 5.4870 Å, 90.00 90.07 90.00°
Last column: nearest neighbours and their distance in Å.
Space group C2 (No. 5)
Asymmetric unit:
Ba  0.0000  0.0000  0.0000 (multiplicity 2)  6 O 2.70-2.83
Sc  0.0000  0.6848  0.5000 (multiplicity 2)  6 O 2.04-2.14
Mo  0.0000  0.3234  0.5000 (multiplicity 2)  6 O 1.88-2.02
O  0.0995  0.4970  0.6768 (multiplicity 4)  1 Mo 2.02, 1 Sc 2.14, 1 O 2.23
O  0.1777  0.2098  0.7113 (multiplicity 4)  1 Mo 1.88
O  0.2112  0.8140  0.7033 (multiplicity 4)  1 Mo 1.94, 1 Sc 2.04

=====

A geometry-optimized BaSc2MoO8 structure, computed with GGA+U.

D(E_F) in states/eV/f.u.: 0.000

Cell: 4.8213 7.3002 4.8237 Å, 90.00 90.09 90.00°
Last column: nearest neighbours and their distance in Å.
Space group P2/m (No. 10)
Asymmetric unit:
Ba  0.0000  0.0000  0.0000 (multiplicity 1)  6 O 2.62-2.66
Sc  0.5000  0.2932  0.5000 (multiplicity 2)  6 O 2.07-2.27
Mo  0.0000  0.5000  0.0000 (multiplicity 1)  6 O 1.93-2.00
O  0.1960  0.3090  0.1954 (multiplicity 4)  1 Mo 1.93, 1 Sc 2.08
O  0.2932  0.5000  0.7063 (multiplicity 2)  1 Mo 2.00, 2 Sc 2.07
O  0.3891  0.0000  0.6088 (multiplicity 2)  1 O 1.50

=====

A geometry-optimized Ba3Sc2MoO8 structure, computed with GGA+U.

D(E_F) in states/eV/f.u.: 0.000

Cell: 5.9721 5.9721 7.6385 Å, 90.00 90.00 120.00°
Last column: nearest neighbours and their distance in Å.
Space group P-3m1 (No. 164)
Asymmetric unit:
Ba  0.0000  0.0000  0.0000 (multiplicity 1)  6 O 3.02
Ba  0.3333  0.6667  0.6477 (multiplicity 2)  1 O 2.44
Sc  0.3333  0.6667  0.2154 (multiplicity 2)  4 O 1.89-2.01
Mo  0.0000  0.0000  0.5000 (multiplicity 1)  6 O 2.09
O  0.1588  0.3177  0.3319 (multiplicity 6)  1 Sc 2.01, 1 Mo 2.09
O  0.3333  0.6667  0.9676 (multiplicity 2)  1 Sc 1.89

=====

A geometry-optimized Ba2ScMo3O12 structure, computed with GGA+U.

D(E_F) in states/eV/f.u.: 3.742

Cell: 7.5095 7.5095 18.0143 Å, 90.00 90.00 120.00°
Last column: nearest neighbours and their distance in Å.
Space group R-3m (No. 166, hexagonal axes)
Asymmetric unit:
Ba  0.0000  0.0000  0.1786 (multiplicity 6)  6 O 2.73-2.88
Sc  0.0000  0.0000  0.5000 (multiplicity 3)  6 O 2.10
Mo  0.0000  0.5000  0.0000 (multiplicity 9)  6 O 1.90-1.98
O  0.0614  0.5307  0.1033 (multiplicity 18)  1 Mo 1.90, 1 Sc 2.10
O  0.0904  0.5452  0.3547 (multiplicity 18)  2 Mo 1.98

=====

A geometry-optimized Ba2ScMoO6 structure, computed with GGA+U.

D(E_F) in states/eV/f.u.: 0.088

Cell: 5.9696 5.9696 28.8784 Å, 90.00 90.00 120.00°
Last column: nearest neighbours and their distance in Å.
Space group R-3m (No. 166, hexagonal axes)
Asymmetric unit:
Ba  0.0000  0.0000  0.1326 (multiplicity 6)  12 O 2.84-3.17
Ba  0.0000  0.0000  0.2813 (multiplicity 6)  9 O 2.77-3.01
Sc  0.0000  0.0000  0.4103 (multiplicity 6)  6 O 2.14
Mo  0.0000  0.0000  0.0000 (multiplicity 3)  6 O 1.96
Mo  0.0000  0.0000  0.5000 (multiplicity 3)  6 O 2.04
O  0.0157  0.5078  0.1247 (multiplicity 18)  1 Mo 2.04, 1 Sc 2.14
O  0.0197  0.5098  0.7050 (multiplicity 18)  1 Mo 1.96, 1 Sc 2.14

=====

A geometry-optimized BaMoSe2O8 structure, computed with GGA+U.

Cell: 5.6557 5.6557 7.1996 Å, 90.00 90.00 120.00°
Last column: nearest neighbours and their distance in Å.
Space group P-3 (No. 147)
Asymmetric unit:
Ba  0.0000  0.0000  0.0000 (multiplicity 1)  6 O 2.89
Mo  0.0000  0.0000  0.5000 (multiplicity 1)  6 O 1.95
Se  0.3333  0.6667  0.6736 (multiplicity 2)  1 O 1.66
O  0.0217  0.2865  0.6618 (multiplicity 6)  1 Mo 1.95, 1 Se 1.99
O  0.3333  0.6667  0.9045 (multiplicity 2)  1 Se 1.66

=====

Total DFT energy (no corrections) across the listed records, respectively: -6.8575; -6.4207; -6.3987; -6.6997; -7.3146; -7.5032; -7.3820; -7.2004; -7.3227; -5.9519 eV/atom.
Total magnetization across the listed records, respectively: 4.05; 2.00; 0.05; 1.00; 1.05; 0.00; 2.00; 1.00; 0.02; 0.00 μB per formula unit.